a.
A plane-wave DFT calculation with PBE was carried out for an optimized crystal structure of Pr3Cd2Ga.

Results
N(E_F) ... 6.2 states/eV/cell
Space-group type ... P4/mmm
Crystal system ... tetragonal

```
Pr3Cd2Ga
1.0
-0.2760 -1.3768 3.5122
1.9876 -3.0462 -1.0380
9.9776 5.5076 2.9431
Pr Cd Ga
3 2 1
Direct
0.0000 0.0000 0.0000
0.0000 0.0000 0.6529
0.0000 0.0000 0.3471
0.5000 0.5000 0.8294
0.5000 0.5000 0.1706
0.5000 0.5000 0.5000
```



b.
A plane-wave DFT calculation with PBE was carried out for an optimized crystal structure of Pr3Cd2Ga.

Results
N(E_F) ... 9.2 states/eV/cell
Space-group type ... P-3m1
Crystal system ... trigonal

```
Pr3Cd2Ga
1.0
-0.9091 3.1501 -4.3187
-4.1601 -1.7356 3.0136
0.5204 5.3937 3.8247
Pr Cd Ga
3 2 1
Direct
0.0000 0.0000 0.5000
0.6667 0.3333 0.8468
0.3333 0.6667 0.1532
0.6667 0.3333 0.3469
0.3333 0.6667 0.6531
0.0000 0.0000 0.0000
```



Q: Which of them is the least stable? A: b.



a.
A plane-wave DFT calculation with PBE was carried out for an optimized crystal structure of PrCdGa2.

Results
N(E_F) ... 2.8 states/eV/cell
Space-group type ... P4/mmm
Crystal system ... tetragonal

```
PrCdGa2
1.0
-1.9243 -3.6691 -1.3800
4.0522 -2.1231 -0.0056
-0.6663 -1.2830 4.3402
Pr Ga Cd
1 2 1
Direct
0.5000 0.0000 0.0000
0.0000 0.0000 0.5000
0.0000 0.5000 0.0000
0.5000 0.5000 0.5000
```



b.
A plane-wave DFT calculation with PBE was carried out for an optimized crystal structure of PrCdGa2.

Results
N(E_F) ... 1.5 states/eV/cell
Space-group type ... Amm2
Crystal system ... orthorhombic

```
PrCdGa2
1.0
3.4927 0.0000 0.0000
0.0000 5.3361 0.2641
0.0000 -1.5060 5.1260
Pr Cd Ga
1 1 2
Direct
0.0000 0.0059 0.9941
0.5000 0.6002 0.3998
0.5000 0.1162 0.5073
0.5000 0.4927 0.8838
```



c.
A plane-wave DFT calculation with PBE was carried out for an optimized crystal structure of PrCdGa2.

Results
N(E_F) ... 2.4 states/eV/cell
Space-group type ... Fm-3m
Crystal system ... cubic

```
PrCdGa2
1.0
5.0519 0.0000 0.0000
2.5259 4.3751 0.0000
2.5259 1.4584 4.1248
Pr Ga Cd
1 2 1
Direct
0.5000 0.5000 0.5000
0.2500 0.2500 0.2500
0.7500 0.7500 0.7500
0.0000 0.0000 0.0000
```



Q: Which of them is the least stable? A: b.



a.
A plane-wave DFT calculation with PBE was carried out for an optimized crystal structure of Pr2Cd3Ga.

Results
N(E_F) ... 7.0 states/eV/cell
Space-group type ... Imm2
Crystal system ... orthorhombic

```
Pr2Cd3Ga
1.0
4.5574 0.0000 -1.2131
-0.2977 3.9355 -1.1185
-0.0427 0.4186 9.0070
Pr Cd Ga
2 3 1
Direct
0.1146 0.1146 0.2292
0.8898 0.3898 0.7796
0.7088 0.7088 0.4175
0.5438 0.5438 0.0877
0.2932 0.7932 0.5864
0.4498 0.9498 0.8996
```



b.
A plane-wave DFT calculation with PBE was carried out for an optimized crystal structure of Pr2Cd3Ga.

Results
N(E_F) ... 5.6 states/eV/cell
Space-group type ... Pmm2
Crystal system ... orthorhombic

```
Pr2Cd3Ga
1.0
3.6927 0.0000 0.0000
0.0000 4.9270 0.0000
0.0000 0.0000 8.5034
Pr Cd Ga
2 3 1
Direct
0.0000 0.5000 0.0128
0.0000 0.0000 0.4887
0.5000 0.0000 0.8305
0.5000 0.0000 0.1682
0.5000 0.5000 0.6637
0.5000 0.5000 0.3361
```



Q: Which of them is the least stable? A: a.



a.
A plane-wave DFT calculation with PBE was carried out for an optimized crystal structure of Pr2Cd2Ga.

Results
N(E_F) ... 5.2 states/eV/cell
Space-group type ... C2/m
Crystal system ... monoclinic

```
Pr2Cd2Ga
1.0
6.9057 2.4744 3.9769
4.6080 5.7077 3.9769
1.3592 0.9659 6.0946
Pr Cd Ga
2 2 1
Direct
0.6900 0.6900 0.8416
0.3100 0.3100 0.1584
0.4181 0.4181 0.4700
0.5819 0.5819 0.5300
0.0000 0.0000 0.0000
```



b.
A plane-wave DFT calculation with PBE was carried out for an optimized crystal structure of Pr2Cd2Ga.

Results
N(E_F) ... 9.3 states/eV/cell
Space-group type ... C2/m
Crystal system ... monoclinic

```
Pr2Cd2Ga
1.0
4.7060 0.0000 0.0000
2.3530 5.6286 -0.3838
2.3530 0.1985 10.2254
Pr Cd Ga
4 4 2
Direct
0.6803 0.3012 0.3383
0.9179 0.2732 0.8910
0.3197 0.6988 0.6617
0.0821 0.7268 0.1090
0.0896 0.2632 0.5576
0.6387 0.8396 0.8830
0.9104 0.7368 0.4424
0.3613 0.1604 0.1170
0.6107 0.1124 0.6663
0.3893 0.8876 0.3337
```



Q: Which of them is the least stable? A: a.



a.
A plane-wave DFT calculation with PBE was carried out for an optimized crystal structure of Pr4CdGa.

Results
N(E_F) ... 9.4 states/eV/cell
Space-group type ... P4/mmm
Crystal system ... tetragonal

```
Pr4CdGa
1.0
5.1187 0.0001 -0.0020
-0.0001 5.1191 -0.0028
0.0030 0.0049 7.7801
Pr Cd Ga
4 1 1
Direct
0.5013 0.9972 0.2625
0.5013 0.9973 0.7338
0.0013 0.4973 0.7338
0.0013 0.4973 0.2625
0.5014 0.4972 0.9981
0.0012 0.9974 0.4981
```



b.
A plane-wave DFT calculation with PBE was carried out for an optimized crystal structure of Pr4CdGa.

Results
N(E_F) ... 31.2 states/eV/cell
Space-group type ... F-43m
Crystal system ... cubic

```
Pr4CdGa
1.0
8.8274 0.0000 5.0965
2.9425 8.3226 5.0965
0.0000 0.0000 10.1930
Pr Cd Ga
16 4 4
Direct
0.3901 0.3901 0.3901
0.8296 0.3901 0.3901
0.3901 0.8296 0.3901
0.3901 0.3901 0.8296
0.5587 0.5587 0.9413
0.9413 0.9413 0.5587
0.5587 0.9413 0.5587
0.9413 0.5587 0.9413
0.9413 0.5587 0.5587
0.5587 0.9413 0.9413
0.1844 0.1844 0.8156
0.8156 0.8156 0.1844
0.1844 0.8156 0.1844
0.8156 0.1844 0.8156
0.8156 0.1844 0.1844
0.1844 0.8156 0.8156
0.1697 0.1697 0.1697
0.4910 0.1697 0.1697
0.1697 0.4910 0.1697
0.1697 0.1697 0.4910
0.6053 0.6053 0.6053
0.1840 0.6053 0.6053
0.6053 0.1840 0.6053
0.6053 0.6053 0.1840
```



Q: Which of them is the least stable? A: a.



a.
A plane-wave DFT calculation with PBE was carried out for an optimized crystal structure of Pr5CdGa2.

Results
N(E_F) ... 8.4 states/eV/cell
Space-group type ... I4/mmm
Crystal system ... tetragonal

```
Pr5CdGa2
1.0
7.0956 0.0023 -0.0002
0.0025 7.0956 -0.0001
-3.5491 -3.5490 4.5077
Pr Cd Ga
5 1 2
Direct
0.7221 0.2221 0.9443
0.2221 0.2221 0.9442
0.7221 0.7221 0.9442
0.2221 0.7221 0.9443
0.7221 0.7221 0.4441
0.2222 0.2222 0.4443
0.2222 0.7222 0.4443
0.7221 0.2222 0.4443
```



b.
A plane-wave DFT calculation with PBE was carried out for an optimized crystal structure of Pr5CdGa2.

Results
N(E_F) ... 15.6 states/eV/cell
Space-group type ... I4/mcm
Crystal system ... tetragonal

```
Pr5CdGa2
1.0
7.1367 0.0000 -3.3689
-1.5903 6.9573 -3.3689
0.1432 0.1797 9.5471
Pr Cd Ga
10 2 4
Direct
0.5269 0.6839 0.7108
0.8161 0.9731 0.2892
0.0000 0.0000 0.0000
0.5000 0.5000 0.0000
0.1839 0.0269 0.7108
0.6839 0.1839 0.7108
0.0269 0.5269 0.7108
0.3161 0.8161 0.2892
0.9731 0.4731 0.2892
0.4731 0.3161 0.2892
0.7500 0.7500 0.5000
0.2500 0.2500 0.5000
0.1174 0.3826 0.0000
0.6174 0.1174 0.0000
0.3826 0.8826 0.0000
0.8826 0.6174 0.0000
```



Q: Which of them is the least stable? A: a.